First-principles (PBE with a Hubbard U) data for a relaxed RbSrCrO4 crystal, as listed in Alexandria via LeMat-Bulk.

a b c (Å): 6.119 6.022 7.665
angles (deg): 90.00 105.60 90.00
Atoms (fractional coordinates):
Rb: 0.715 0.750 0.930
Rb: 0.285 0.250 0.070
Sr: 0.785 0.750 0.448
Sr: 0.215 0.250 0.552
Cr: 0.248 0.750 0.331
Cr: 0.752 0.250 0.669
O: 0.936 0.477 0.696
O: 0.064 0.977 0.304
O: 0.064 0.523 0.304
O: 0.936 0.023 0.696
O: 0.413 0.750 0.182
O: 0.587 0.250 0.818
O: 0.410 0.750 0.550
O: 0.590 0.250 0.450

Calculated values
For the calculated total energy, the calculation gives -87.90 eV per cell. As for the total moment: 1.00 μB per formula unit. For the mass density, the calculation gives 3.53 Mg/m³.